No. 1
# Ce3CI5

A relaxed Ce3CI5 crystal (GGA-PBEsol, the Alexandria database).

Geometry as CIF:
```
data_Ce3CI5
_cell_length_a 7.5570
_cell_length_b 9.4334
_cell_length_c 9.4838
_cell_angle_alpha 107.18
_cell_angle_beta 96.17
_cell_angle_gamma 104.14
_symmetry_space_group_name_H-M 'P 1'
_symmetry_Int_Tables_number 1
loop_
_symmetry_equiv_pos_as_xyz
'x,y,z'
loop_
_atom_site_label
_atom_site_type_symbol
_atom_site_fract_x
_atom_site_fract_y
_atom_site_fract_z
Ce1 Ce 0.0356 0.2328 0.4229
Ce2 Ce 0.1120 0.5402 0.2733
Ce3 Ce 0.3923 0.6285 0.6748
Ce4 Ce 0.6077 0.3715 0.3252
Ce5 Ce 0.8880 0.4598 0.7267
Ce6 Ce 0.9644 0.7672 0.5771
C1 C 0.0918 0.5302 0.5414
C2 C 0.9082 0.4698 0.4586
I1 I 0.0917 0.8767 0.3131
I2 I 0.1854 0.2216 0.1259
I3 I 0.2640 0.5859 0.9656
I4 I 0.3533 0.9573 0.7772
I5 I 0.4517 0.2930 0.5998
I6 I 0.5483 0.7070 0.4002
I7 I 0.6467 0.0427 0.2228
I8 I 0.7360 0.4141 0.0344
I9 I 0.8146 0.7784 0.8741
I10 I 0.9083 0.1233 0.6869
```

Values from the calculation:
VASP energy: -0.197 hartree per atom
DOS at the Fermi energy: 2.180 states/eV per atom
Spin magnetization: 3.38 μB/f.u.

=====

No. 2
# CeSi2Mo2C

A relaxed CeSi2Mo2C crystal (GGA-PBEsol, the Alexandria database).

Geometry as CIF:
```
data_CeSi2Mo2C
_cell_length_a 4.1804
_cell_length_b 4.1804
_cell_length_c 5.2904
_cell_angle_alpha 90.00
_cell_angle_beta 90.00
_cell_angle_gamma 90.00
_symmetry_space_group_name_H-M 'P 1'
_symmetry_Int_Tables_number 1
loop_
_symmetry_equiv_pos_as_xyz
'x,y,z'
loop_
_atom_site_label
_atom_site_type_symbol
_atom_site_fract_x
_atom_site_fract_y
_atom_site_fract_z
Ce1 Ce 0.0000 0.0000 0.0000
Si1 Si 0.5000 0.5000 0.2206
Si2 Si 0.5000 0.5000 0.7794
Mo1 Mo 0.0000 0.5000 0.5000
Mo2 Mo 0.5000 0.0000 0.5000
C1 C 0.0000 0.0000 0.5000
```

Values from the calculation:
VASP energy: -0.335 hartree per atom
DOS at the Fermi energy: 0.618 states/eV per atom
Spin magnetization: 0.00 μB/f.u.

=====

No. 3
# Ce2C3N6

A relaxed Ce2C3N6 crystal (GGA-PBEsol, the Alexandria database).

Geometry as CIF:
```
data_Ce2C3N6
_cell_length_a 7.5738
_cell_length_b 7.5738
_cell_length_c 5.3218
_cell_angle_alpha 95.81
_cell_angle_beta 95.81
_cell_angle_gamma 30.05
_symmetry_space_group_name_H-M 'P 1'
_symmetry_Int_Tables_number 1
loop_
_symmetry_equiv_pos_as_xyz
'x,y,z'
loop_
_atom_site_label
_atom_site_type_symbol
_atom_site_fract_x
_atom_site_fract_y
_atom_site_fract_z
Ce1 Ce 0.1347 0.1347 0.0738
Ce2 Ce 0.8653 0.8653 0.9262
C1 C 0.0000 0.0000 0.5000
C2 C 0.3278 0.3278 0.4052
C3 C 0.6722 0.6722 0.5948
N1 N 0.0122 0.0122 0.7327
N2 N 0.3110 0.3110 0.1705
N3 N 0.3421 0.3421 0.6354
N4 N 0.6579 0.6579 0.3646
N5 N 0.6890 0.6890 0.8295
N6 N 0.9878 0.9878 0.2673
```

Values from the calculation:
VASP energy: -0.338 hartree per atom
DOS at the Fermi energy: 1.324 states/eV per atom
Spin magnetization: 2.01 μB/f.u.

=====

No. 4
# Ce2CN2O2

A relaxed Ce2CN2O2 crystal (GGA-PBEsol, the Alexandria database).

Geometry as CIF:
```
data_Ce2CN2O2
_cell_length_a 3.8662
_cell_length_b 3.8662
_cell_length_c 8.2406
_cell_angle_alpha 90.00
_cell_angle_beta 90.00
_cell_angle_gamma 120.00
_symmetry_space_group_name_H-M 'P 1'
_symmetry_Int_Tables_number 1
loop_
_symmetry_equiv_pos_as_xyz
'x,y,z'
loop_
_atom_site_label
_atom_site_type_symbol
_atom_site_fract_x
_atom_site_fract_y
_atom_site_fract_z
Ce1 Ce 0.3333 0.6667 0.3219
Ce2 Ce 0.6667 0.3333 0.6781
C1 C 0.0000 0.0000 0.0000
N1 N 0.0000 0.0000 0.1501
N2 N 0.0000 0.0000 0.8499
O1 O 0.3333 0.6667 0.6040
O2 O 0.6667 0.3333 0.3960
```

Values from the calculation:
VASP energy: -0.339 hartree per atom
DOS at the Fermi energy: 1.321 states/eV per atom
Spin magnetization: 2.04 μB/f.u.

=====

spin magnetization of number 3 (Ce2C3N6)?
2.01 μB/f.u.